[1]
Material: HoScCr2S6
Method: DFT, PBE
State: optimized geometry

CIF file:
```
data_HoScCr2S6
_chemical_formula_sum 'Ho1 Sc1 Cr2 S6'
_cell_length_a 6.715
_cell_length_b 6.715
_cell_length_c 6.715
_cell_angle_alpha 56.76
_cell_angle_beta 56.76
_cell_angle_gamma 56.76
_symmetry_space_group_name_H-M 'P 1'
_symmetry_Int_Tables_number 1
_symmetry_space_group_name_Hall 'P 1'
loop_
_atom_site_label
_atom_site_type_symbol
_atom_site_fract_x
_atom_site_fract_y
_atom_site_fract_z
Ho1 Ho 0.000 0.000 0.000
Sc1 Sc 0.494 0.494 0.494
Cr1 Cr 0.298 0.298 0.298
Cr2 Cr 0.800 0.800 0.800
S1 S 0.071 0.664 0.439
S2 S 0.183 0.563 0.920
S3 S 0.439 0.071 0.664
S4 S 0.563 0.920 0.183
S5 S 0.664 0.439 0.071
S6 S 0.920 0.183 0.563
```

Summary:
space group: R3, No. 146

=====

[2]
Material: Ho2ScCrS6
Method: DFT, PBE
State: optimized geometry

CIF file:
```
data_Ho2ScCrS6
_chemical_formula_sum 'Ho4 Sc2 Cr2 S12'
_cell_length_a 6.277
_cell_length_b 6.877
_cell_length_c 11.046
_cell_angle_alpha 90.00
_cell_angle_beta 123.07
_cell_angle_gamma 90.00
_symmetry_space_group_name_H-M 'P 1'
_symmetry_Int_Tables_number 1
_symmetry_space_group_name_Hall 'P 1'
loop_
_atom_site_label
_atom_site_type_symbol
_atom_site_fract_x
_atom_site_fract_y
_atom_site_fract_z
Ho1 Ho 0.203 0.104 0.245
Ho2 Ho 0.203 0.396 0.745
Ho3 Ho 0.797 0.604 0.255
Ho4 Ho 0.797 0.896 0.755
Sc1 Sc 0.500 0.000 0.000
Sc2 Sc 0.500 0.500 0.500
Cr1 Cr 0.000 0.000 0.500
Cr2 Cr 0.000 0.500 0.000
S1 S 0.105 0.192 0.936
S2 S 0.105 0.308 0.436
S3 S 0.251 0.679 0.935
S4 S 0.251 0.821 0.435
S5 S 0.377 0.038 0.740
S6 S 0.377 0.462 0.240
S7 S 0.623 0.538 0.760
S8 S 0.623 0.962 0.260
S9 S 0.749 0.179 0.565
S10 S 0.749 0.321 0.065
S11 S 0.895 0.692 0.564
S12 S 0.895 0.808 0.064
```

Summary:
space group: P2_1/c, No. 14

=====

[3]
Material: Ho3Tl3CrS8
Method: DFT, PBE
State: optimized geometry

CIF file:
```
data_Ho3Tl3CrS8
_chemical_formula_sum 'Ho3 Tl3 Cr1 S8'
_cell_length_a 8.709
_cell_length_b 8.709
_cell_length_c 8.709
_cell_angle_alpha 53.02
_cell_angle_beta 53.02
_cell_angle_gamma 53.02
_symmetry_space_group_name_H-M 'P 1'
_symmetry_Int_Tables_number 1
_symmetry_space_group_name_Hall 'P 1'
loop_
_atom_site_label
_atom_site_type_symbol
_atom_site_fract_x
_atom_site_fract_y
_atom_site_fract_z
Ho1 Ho 0.000 0.500 0.500
Ho2 Ho 0.500 0.000 0.500
Ho3 Ho 0.500 0.500 0.000
Tl1 Tl 0.000 0.000 0.500
Tl2 Tl 0.000 0.500 0.000
Tl3 Tl 0.500 0.000 0.000
Cr1 Cr 0.000 0.000 0.000
S1 S 0.214 0.214 0.760
S2 S 0.214 0.760 0.214
S3 S 0.240 0.786 0.786
S4 S 0.266 0.266 0.266
S5 S 0.734 0.734 0.734
S6 S 0.760 0.214 0.214
S7 S 0.786 0.240 0.786
S8 S 0.786 0.786 0.240
```

Summary:
space group: R-3m, No. 166
DOS(E_F): 0.40 states/eV per atom

=====

[4]
Material: Ho2Tl3CrS6
Method: DFT, PBE
State: optimized geometry

CIF file:
```
data_Ho2Tl3CrS6
_chemical_formula_sum 'Ho2 Tl3 Cr1 S6'
_cell_length_a 6.710
_cell_length_b 6.710
_cell_length_c 7.815
_cell_angle_alpha 98.20
_cell_angle_beta 98.20
_cell_angle_gamma 119.94
_symmetry_space_group_name_H-M 'P 1'
_symmetry_Int_Tables_number 1
_symmetry_space_group_name_Hall 'P 1'
loop_
_atom_site_label
_atom_site_type_symbol
_atom_site_fract_x
_atom_site_fract_y
_atom_site_fract_z
Ho1 Ho 0.166 0.834 0.000
Ho2 Ho 0.834 0.166 0.000
Tl1 Tl 0.000 0.000 0.500
Tl2 Tl 0.326 0.674 0.500
Tl3 Tl 0.674 0.326 0.500
Cr1 Cr 0.500 0.500 0.000
S1 S 0.132 0.438 0.813
S2 S 0.258 0.258 0.195
S3 S 0.438 0.132 0.813
S4 S 0.562 0.868 0.187
S5 S 0.742 0.742 0.805
S6 S 0.868 0.562 0.187
```

Summary:
space group: C2/m, No. 12

=====

Number 1: formation energy (no corrections) -1.25 eV/atom. Number 2: formation energy (no corrections) -1.67 eV/atom. Number 3: formation energy (no corrections) -1.24 eV/atom. Number 4: formation energy (no corrections) -1.14 eV/atom.